No. 1
! Zn2RuBr GGA-PBE optimized geometry; values from VASP
&SYSTEM
  ibrav = 0, nat = 4, ntyp = 3
/
ATOMIC_SPECIES
Br 79.90 Br.upf
Ru 101.07 Ru.upf
Zn 65.41 Zn.upf
CELL_PARAMETERS angstrom
-1.436 -3.580 -0.464
2.977 -1.094 -0.774
-0.386 -0.662 6.300
ATOMIC_POSITIONS angstrom
Br 1.118 -0.816 2.839
Ru 0.798 -3.045 4.756
Zn 0.091 -0.778 5.719
Zn 0.059 -2.237 0.809
! - distance to the lowest polymorph of the same formula (kJ per mole of atoms) = 9.2
! - formation energy (no corrections) (meV per atom) = 215
! - total magnetization (μB/atom) = 0.265
! - electronic total energy (eV per atom) = -3.16



No. 2
! Ti4ReIr GGA-PBE optimized geometry; values from VASP
&SYSTEM
  ibrav = 0, nat = 6, ntyp = 3
/
ATOMIC_SPECIES
Ti 47.87 Ti.upf
Re 186.21 Re.upf
Ir 192.22 Ir.upf
CELL_PARAMETERS angstrom
-3.380 -0.858 -2.509
0.545 -0.510 -4.231
0.078 -7.271 -1.292
ATOMIC_POSITIONS angstrom
Ti -1.765 -1.749 -4.376
Ti -0.993 -6.891 -3.657
Ti -0.303 -4.733 -1.649
Ti -2.454 -3.907 -6.384
Re 0.000 0.000 0.000
Ir -1.379 -4.320 -4.016
! - total magnetization (μB/atom) = 0.000
! - electronic total energy (eV per atom) = -8.96



No. 3
! CrCoTeN2 GGA-PBE optimized geometry; values from VASP
&SYSTEM
  ibrav = 0, nat = 5, ntyp = 4
/
ATOMIC_SPECIES
Cr 52.00 Cr.upf
Te 127.60 Te.upf
Co 58.93 Co.upf
N 14.01 N.upf
CELL_PARAMETERS angstrom
-2.637 0.270 2.518
-0.897 -3.500 -0.563
3.646 -1.576 3.987
ATOMIC_POSITIONS angstrom
Cr 0.000 0.000 0.000
Te 1.823 -0.788 1.993
Co 0.056 -2.403 2.971
N -0.448 -1.750 -0.282
N -1.318 0.135 1.259
! - distance to the lowest polymorph of the same formula (kJ per mole of atoms) = 0.0
! - formation energy (no corrections) (meV per atom) = 712
! - total magnetization (μB/atom) = 0.346
! - electronic total energy (eV per atom) = -6.59



No. 4
! Al5In3Se12 GGA-PBE optimized geometry; values from VASP
&SYSTEM
  ibrav = 0, nat = 80, ntyp = 3
/
ATOMIC_SPECIES
In 114.82 In.upf
Al 26.98 Al.upf
Se 78.96 Se.upf
CELL_PARAMETERS angstrom
-12.843 0.476 4.691
7.087 -9.342 7.049
5.864 12.268 1.511
ATOMIC_POSITIONS angstrom
In -6.242 -1.613 6.351
In -5.190 -5.057 9.581
In 4.164 0.840 7.990
In -0.126 3.552 2.621
In -8.886 2.316 5.364
In 1.079 -2.593 6.543
In -0.971 5.995 6.709
In 8.994 1.087 7.888
In 0.234 -0.150 10.631
In -4.056 2.563 5.261
In 5.298 8.459 3.671
In 6.350 5.015 6.901
Al 2.518 -0.377 3.608
Al 3.544 -4.671 3.525
Al 0.000 0.000 0.000
Al -2.311 -0.624 3.710
Al -3.490 6.372 3.101
Al -2.878 -4.433 5.870
Al 5.909 -2.346 6.440
Al -3.615 9.924 5.722
Al -3.004 -0.881 8.491
Al 0.468 8.212 3.773
Al -0.360 -4.810 9.478
Al 0.054 1.701 6.626
Al -6.422 0.238 2.346
Al 2.932 6.134 0.755
Al 3.112 4.284 4.761
Al 3.723 -6.522 7.530
Al 6.476 1.463 4.280
Al -5.801 5.749 6.811
Al 2.420 4.026 9.541
Al -2.410 3.779 9.644
Se -7.997 -0.459 4.265
Se 1.976 0.150 5.885
Se -8.075 0.567 7.610
Se -4.617 -0.124 4.151
Se 1.523 1.953 8.730
Se -7.184 -2.947 9.002
Se 3.910 -2.099 7.743
Se 6.042 -6.985 7.123
Se 3.176 -0.472 10.636
Se -3.946 -2.931 7.675
Se -4.676 0.578 7.579
Se -3.990 -7.666 10.295
Se 6.500 -0.021 6.389
Se -1.447 -2.620 4.723
Se 7.567 -3.842 7.318
Se -0.998 6.313 3.766
Se 1.430 0.945 1.927
Se -0.664 -4.919 7.100
Se -2.357 -4.612 10.794
Se 1.898 -2.693 3.700
Se 6.720 0.858 9.769
Se -0.737 -0.427 7.848
Se -2.657 -0.745 10.861
Se -2.484 8.629 7.395
Se 0.845 3.829 5.403
Se 2.765 4.147 2.390
Se 2.592 -5.227 5.856
Se 2.465 8.014 2.458
Se -6.612 2.545 3.483
Se -1.790 6.095 9.551
Se 0.772 8.322 6.151
Se 1.107 -2.910 9.486
Se -1.322 2.457 11.325
Se -7.459 7.244 5.934
Se -6.392 3.423 6.863
Se 4.098 11.069 2.957
Se 1.556 6.022 8.528
Se -3.068 3.875 2.616
Se 4.054 6.334 5.577
Se 4.784 2.824 5.672
Se -5.934 10.387 6.129
Se -3.801 5.501 5.508
Se 4.725 3.526 9.100
Se 7.292 6.350 4.250
Se -1.415 1.449 4.521
Se 8.183 2.836 5.641
Se -1.868 3.252 7.366
Se 8.105 3.861 8.986
! - formation energy (no corrections) (meV per atom) = -543
! - total magnetization (μB/atom) = 0.000
! - electronic total energy (eV per atom) = -3.98



No. 5
! ZnRe2Ni GGA-PBE optimized geometry; values from VASP
&SYSTEM
  ibrav = 0, nat = 4, ntyp = 3
/
ATOMIC_SPECIES
Ni 58.69 Ni.upf
Re 186.21 Re.upf
Zn 65.41 Zn.upf
CELL_PARAMETERS angstrom
-0.551 2.646 3.731
2.571 -1.764 3.392
1.077 1.096 -4.344
ATOMIC_POSITIONS angstrom
Ni 0.768 2.092 1.474
Re 0.000 0.000 0.000
Re 2.329 -0.113 1.305
Zn 1.010 0.441 3.562
! - total magnetization (μB/atom) = 0.000
! - electronic total energy (eV per atom) = -7.85



No. 6
! HoLuMg GGA-PBE optimized geometry; values from VASP
&SYSTEM
  ibrav = 0, nat = 3, ntyp = 3
/
ATOMIC_SPECIES
Mg 24.30 Mg.upf
Lu 174.97 Lu.upf
Ho 164.93 Ho.upf
CELL_PARAMETERS angstrom
-0.286 2.465 -2.222
-0.879 -3.614 -3.895
-4.145 2.025 2.779
ATOMIC_POSITIONS angstrom
Mg -3.148 0.940 -0.162
Lu -0.015 0.126 -0.114
Ho -2.147 -0.190 -3.062
! - distance to the lowest polymorph of the same formula (kJ per mole of atoms) = 7.9
! - total magnetization (μB/atom) = 0.000
! - electronic total energy (eV per atom) = -3.51



No. 7
! CeIn12Pd6 GGA-PBE optimized geometry; values from VASP
&SYSTEM
  ibrav = 0, nat = 19, ntyp = 3
/
ATOMIC_SPECIES
Ce 140.12 Ce.upf
In 114.82 In.upf
Pd 106.42 Pd.upf
CELL_PARAMETERS angstrom
-0.174 0.092 -7.880
7.486 -1.582 1.895
-4.074 -6.416 2.094
ATOMIC_POSITIONS angstrom
Ce 0.000 0.000 0.000
In -1.316 -3.311 -5.692
In 1.893 -4.705 -4.319
In 0.908 -6.349 -1.798
In -0.590 -2.777 -2.043
In 2.331 -1.556 -2.093
In 1.346 -3.200 0.427
In 0.125 -6.447 1.877
In 6.050 -2.100 -2.022
In 4.555 -4.594 1.801
In 3.114 -1.459 -5.768
In -2.811 -5.805 -1.870
In 3.829 -5.128 -1.848
Pd 0.835 -2.179 -4.440
Pd -0.822 -4.944 -0.203
Pd 4.090 -2.891 -0.287
Pd 4.061 -2.961 -3.689
Pd 2.404 -5.726 0.549
Pd -0.851 -5.015 -3.605
! - total magnetization (μB/atom) = 0.066
! - electronic total energy (eV per atom) = -4.01



No. 8
! CeErTlNi GGA-PBE optimized geometry; values from VASP
&SYSTEM
  ibrav = 0, nat = 4, ntyp = 4
/
ATOMIC_SPECIES
Ni 58.69 Ni.upf
Tl 204.38 Tl.upf
Ce 140.12 Ce.upf
Er 167.26 Er.upf
CELL_PARAMETERS angstrom
-3.217 -0.859 3.940
-4.839 -1.538 -0.909
-1.435 -4.818 1.155
ATOMIC_POSITIONS angstrom
Ni -2.373 -1.804 1.047
Tl -7.118 -5.411 3.140
Ce 0.000 0.000 0.000
Er -4.745 -3.607 2.093
! - total magnetization (μB/atom) = 0.121
! - electronic total energy (eV per atom) = -4.81



No. 9
! MgAs GGA-PBE optimized geometry; values from VASP
&SYSTEM
  ibrav = 0, nat = 2, ntyp = 2
/
ATOMIC_SPECIES
Mg 24.30 Mg.upf
As 74.92 As.upf
CELL_PARAMETERS angstrom
-3.399 -2.053 -0.821
3.155 -1.898 1.699
-1.086 0.685 2.783
ATOMIC_POSITIONS angstrom
Mg -1.214 -2.001 0.019
As -0.543 0.343 1.391
! - distance to the lowest polymorph of the same formula (kJ per mole of atoms) = 2.7
! - total magnetization (μB/atom) = 0.000
! - electronic total energy (eV per atom) = -3.51



No. 10
! DySi2Pd4 GGA-PBE optimized geometry; values from VASP
&SYSTEM
  ibrav = 0, nat = 28, ntyp = 3
/
ATOMIC_SPECIES
Dy 162.50 Dy.upf
Si 28.09 Si.upf
Pd 106.42 Pd.upf
CELL_PARAMETERS angstrom
4.162 0.000 0.000
0.000 6.553 0.000
0.000 0.000 16.966
ATOMIC_POSITIONS angstrom
Dy 3.121 6.395 10.870
Dy 1.040 0.158 6.096
Dy 1.040 3.118 14.580
Dy 3.121 3.435 2.387
Si 1.040 4.854 9.185
Si 3.121 1.699 7.781
Si 3.121 1.578 16.265
Si 1.040 4.975 0.702
Si 1.040 6.219 13.297
Si 3.121 0.334 3.670
Si 3.121 2.942 12.153
Si 1.040 3.611 4.813
Pd 1.040 1.628 11.903
Pd 3.121 4.925 5.063
Pd 3.121 4.904 13.546
Pd 1.040 1.649 3.420
Pd 1.040 4.373 11.615
Pd 3.121 2.180 5.351
Pd 3.121 1.097 13.834
Pd 1.040 5.456 3.132
Pd 1.040 0.932 8.928
Pd 3.121 5.621 8.038
Pd 3.121 4.208 16.521
Pd 1.040 2.345 0.445
Pd 1.040 3.323 7.262
Pd 3.121 3.230 9.705
Pd 3.121 0.046 1.221
Pd 1.040 6.506 15.745
! - distance to the lowest polymorph of the same formula (kJ per mole of atoms) = 3.6
! - formation energy (no corrections) (meV per atom) = -798
! - total magnetization (μB/atom) = 0.000
! - electronic total energy (eV per atom) = -5.97



No. 11
! PrCdSi2Pt5 GGA-PBE optimized geometry; values from VASP
&SYSTEM
  ibrav = 0, nat = 9, ntyp = 4
/
ATOMIC_SPECIES
Pr 140.91 Pr.upf
Cd 112.41 Cd.upf
Si 28.09 Si.upf
Pt 195.08 Pt.upf
CELL_PARAMETERS angstrom
-2.148 3.058 1.694
-1.919 -2.694 2.428
7.785 1.276 7.567
ATOMIC_POSITIONS angstrom
Pr 3.892 0.638 3.783
Cd 0.000 0.000 0.000
Si 0.184 0.545 4.217
Si 3.534 1.095 7.473
Pt 0.441 -1.117 2.575
Pt 0.326 1.758 2.208
Pt 5.425 -0.300 7.420
Pt 5.310 2.575 7.053
Pt 1.859 0.820 5.845
! - formation energy (no corrections) (meV per atom) = -658
! - total magnetization (μB/atom) = 0.000
! - electronic total energy (eV per atom) = -5.85